Crystalline Nd4As2S at its relaxed geometry, computed with PBE-GGA. Values from VASP.

Quantum ESPRESSO input file:
```
&SYSTEM
  ibrav = 0, nat = 7, ntyp = 3
/
ATOMIC_SPECIES
Nd 144.24 Nd.upf
As 74.92 As.upf
S 32.06 S.upf
ATOMIC_POSITIONS angstrom
Nd -1.482 6.406 0.472
Nd -1.924 2.176 0.255
Nd -2.630 6.225 4.480
As -2.149 4.258 2.316
As -1.962 8.373 2.635
S 0.000 0.000 0.000
Nd -2.188 10.455 4.697
CELL_PARAMETERS angstrom
-2.118 2.389 -2.646
-4.870 4.389 4.613
2.876 5.853 2.985
```

ΔE_f (raw) = -1.350 eV per atom
Total energy = -41.95 eV/f.u.